This record from Alexandria via LeMat-Bulk describes crystalline TiCo2O at its relaxed geometry. The functional is PBE+U.

Cell and atoms, written as POSCAR:
```
TiCo2O
1.0
-1.312 -2.060 3.810
1.635 -3.922 -1.557
4.693 -1.946 3.252
Co O Ti
4 2 2
Direct
0.513 0.125 0.250
0.237 0.625 0.250
0.375 0.487 0.750
0.875 0.763 0.750
0.500 0.500 0.000
0.250 0.750 0.500
0.000 0.000 0.000
0.750 0.250 0.500
```

Results
ΔE to the lowest computed polymorph ... 0 meV/atom
Calculated volume ... 13.09 A^3/atom